(1)
First-principles (PBE) data for an optimized crystal structure of NpBeP2O8, as listed in the Alexandria database.

Cell: 4.9842 4.9842 6.2075 Å, 90.00 90.00 120.00°
With the nearest neighbours (Å) after each atom.
Space group P-3 (No. 147)
Inequivalent atoms, fractional coordinates:
Np  0.0000  0.0000  0.0000  6 O 2.39
Be  0.0000  0.0000  0.5000  6 O 1.83
P  0.3333  0.6667  0.7602  4 O 1.54-1.55
O  0.1606  0.3256  0.6878  1 P 1.54
O  0.3333  0.6667  0.0103  1 P 1.55

Output
Energy relative to the elements, uncorrected in meV/atom: -2383

---

(2)
First-principles (PBE) data for an optimized crystal structure of Ac3La3Ho, as listed in the Alexandria database.

Cell: 9.3160 9.3160 22.7153 Å, 90.00 90.00 120.00°
With the nearest neighbours (Å) after each atom.
Space group R-3 (No. 148, hexagonal axes)
Inequivalent atoms, fractional coordinates:
Ac  0.0524  0.4430  0.3837  4 La 3.52-3.82, 2 Ho 3.84-3.93, 2 Ac 3.94
La  0.0134  0.2498  0.5528  2 La 3.30, 2 Ac 3.52-3.56, 1 Ho 3.62
Ho  0.0000  0.0000  0.1506  6 La 3.62-4.00, 6 Ac 3.84-3.93

Output
E_form in meV per atom: 192